VASP calculation (PBE+U) on crystalline LaMgCrSbO6 at its relaxed geometry.

The calculation puts the density at 5.76 g/cm³. For the total magnetic moment, the calculation gives 0.384 μB per atom. Its density of states at the Fermi level is 1.386 states/eV/f.u. The value obtained for the final energy is -6.978 eV/atom.

CIF file:
```
data_LaMgCrSbO6
_symmetry_space_group_name_H-M 'P 1 c 1'
_symmetry_Int_Tables_number 7
_cell_length_a 5.5142
_cell_length_b 5.6717
_cell_length_c 9.6691
_cell_angle_alpha 90.00
_cell_angle_beta 124.33
_cell_angle_gamma 90.00
loop_
_symmetry_equiv_pos_as_xyz
'x,y,z'
'x,-y,z+1/2'
loop_
_atom_site_label
_atom_site_fract_x
_atom_site_fract_y
_atom_site_fract_z
La1 0.0000 0.2017 0.0000
Mg1 0.5495 0.3012 0.5368
Cr1 0.7624 0.2608 0.2508
Sb1 0.2606 0.2455 0.7488
O1 0.1408 0.2120 0.4966
O2 0.4193 0.3186 0.9965
O3 0.5094 0.0802 0.3158
O4 0.6104 0.4279 0.7794
O5 0.8844 0.0473 0.6899
O6 0.9718 0.4788 0.1753
```